Cs2Ge2Se | Alexandria via LeMat-Bulk | GGA-PBE | relaxed; V = 219.0 Å³/f.u.; ΔE to the lowest computed polymorph = 325.5 meV per atom; formation energy from raw total energies = 0.20 eV/atom
1.0
5.907 0.000 0.000
0.000 5.907 0.000
2.954 2.954 6.276
Se Cs Ge
1 2 2
direct
0.000 0.000 0.000
0.750 0.250 0.500
0.250 0.750 0.500
0.590 0.590 0.821
0.410 0.410 0.179

---

Pr2NdMg9 | Alexandria via LeMat-Bulk | GGA-PBE | relaxed; V = 320.8 Å³/f.u.; energy relative to the elements = -0.87 eV per formula unit
1.0
6.095 0.000 0.000
3.048 5.279 0.000
3.048 1.760 9.969
Mg Pr Nd
9 2 1
direct
0.334 0.334 0.998
0.416 0.920 0.249
0.500 0.500 0.500
0.080 0.584 0.751
0.920 0.416 0.249
0.584 0.584 0.751
0.584 0.080 0.751
0.416 0.416 0.249
0.666 0.666 0.002
0.143 0.143 0.571
0.857 0.857 0.429
0.000 0.000 0.000